[1]
Below is crystalline Ni2TeRu at its relaxed geometry, with properties calculated at the PBE level.

Cell lengths 4.0689, 2.9094, 5.0927 Å; angles 89.92, 90.00, 90.00 degrees
Each line ends with the local moment (μB).
Element x y z (fractional)
Ni (0.0000, 0.7485, 0.4737)  0.33
Ni (0.0000, 0.7515, 0.0263)  0.33
Ru (0.5000, 0.2500, 0.2500)  0.44
Te (0.5000, 0.7500, 0.7500)  0.00

Properties
Total magnetization, μB/cell: 1.07
Volume, Å³/cell: 60
DFT total energy, eV/atom: -5.645
Density of states at the Fermi level, states/eV per cell: 5.60

=====

[2]
Below is crystalline Ni2TeRu at its relaxed geometry, with properties calculated at the PBE level.

Cell lengths 3.3371, 3.3371, 5.3068 Å; angles 90.00, 90.00, 90.00 degrees
Each line ends with the local moment (μB).
Element x y z (fractional)
Te (0.5000, 0.5000, 0.7500)  -0.01
Ni (0.0000, 0.0000, 0.4850)  0.38
Ni (0.0000, 0.0000, 0.0150)  0.38
Ru (0.5000, 0.5000, 0.2500)  0.90

Properties
Total magnetization, μB/cell: 1.64
Volume, Å³/cell: 59
DFT total energy, eV/atom: -5.687
Density of states at the Fermi level, states/eV per cell: 5.73

=====

[3]
Below is crystalline Ni2TeRu at its relaxed geometry, with properties calculated at the PBE level.

Cell lengths 3.8397, 3.8397, 3.7996 Å; angles 90.00, 90.00, 90.00 degrees
Element x y z (fractional)
Ni (0.0000, 0.0000, 0.0000)
Ni (0.5000, 0.5000, 0.0000)
Ru (0.5000, 0.0000, 0.5000)
Te (0.0000, 0.5000, 0.5000)

Properties
Total magnetization, μB/cell: 0.00
Volume, Å³/cell: 56
DFT total energy, eV/atom: -5.844
Density of states at the Fermi level, states/eV per cell: 3.59

=====

[4]
Below is crystalline Ni2TeRu at its relaxed geometry, with properties calculated at the PBE level.

Cell lengths 4.5995, 4.5995, 4.5995 Å; angles 129.79, 129.78, 73.75 degrees
Element x y z (fractional)
Ru (0.5000, 0.5000, 0.0000)
Ni (0.0000, 0.0000, 0.0000)
Ni (0.7500, 0.2500, 0.5000)
Te (0.2500, 0.7500, 0.5000)

Properties
Total magnetization, μB/cell: 0.00
Volume, Å³/cell: 56
DFT total energy, eV/atom: -5.844
Density of states at the Fermi level, states/eV per cell: 4.39

=====

[5]
Below is crystalline NiTe3Ru at its relaxed geometry, with properties calculated at the PBE level.

Cell lengths 5.1432, 5.1432, 5.1432 Å; angles 90.00, 90.00, 90.00 degrees
Each line ends with the local moment (μB).
Element x y z (fractional)
Te (0.0000, 0.5000, 0.0000)  0.04
Te (0.0000, 0.0000, 0.5000)  0.06
Te (0.5000, 0.0000, 0.0000)  0.01
Ru (0.0000, 0.0000, 0.0000)  0.07
Ni (0.5000, 0.5000, 0.5000)  0.76

Properties
Excess energy over the best structure of this formula in the dataset, eV per atom: 0.035
Total magnetization, μB/cell: 0.99
Volume, Å³/cell: 136
DFT total energy, eV/atom: -3.963
Density of states at the Fermi level, states/eV per cell: 8.47

=====

[6]
Below is crystalline NiTe6Ru at its relaxed geometry, with properties calculated at the PBE level.

Cell lengths 8.2216, 8.2216, 8.2946 Å; angles 110.14, 108.69, 109.23 degrees
Element x y z (fractional)
Ni (0.5000, 0.0000, 0.0000)
Ni (0.0000, 0.5000, 0.0000)
Ru (0.0000, 0.0000, 0.5000)
Ru (0.5000, 0.5000, 0.5000)
Te (0.4808, 0.1516, 0.3246)
Te (0.5192, 0.8484, 0.6754)
Te (0.3245, 0.1705, 0.8455)
Te (0.1730, 0.8437, 0.3246)
Te (0.3250, 0.4790, 0.1545)
Te (0.6755, 0.8295, 0.1545)
Te (0.8270, 0.1563, 0.6754)
Te (0.8456, 0.6633, 0.5090)
Te (0.1543, 0.6860, 0.8403)
Te (0.1544, 0.3367, 0.4910)
Te (0.8457, 0.3140, 0.1597)
Te (0.6750, 0.5210, 0.8455)

Properties
Total magnetization, μB/cell: 0.00
Volume, Å³/cell: 433
DFT total energy, eV/atom: -4.311
Density of states at the Fermi level, states/eV per cell: 10.58